The following is a PBE-GGA calculation of Ce6HfN8 after structural relaxation, from Alexandria.

calculated volume: 16.243 A^3/atom
calculated total energy: -8.893 eV/atom
formation energy (no corrections): -1.42 eV/atom
calculated density: 7.7 g/cm3

abc: 7.011 7.011 7.011
angles: 60.00 60.00 60.00
Atoms (fractional coordinates):
Hf  0.000  0.000  0.000
N  0.224  0.776  0.776
N  0.224  0.776  0.224
N  0.776  0.224  0.224
N  0.250  0.250  0.250
N  0.224  0.224  0.776
N  0.776  0.776  0.224
N  0.750  0.750  0.750
N  0.776  0.224  0.776
Ce  0.500  0.000  0.000
Ce  0.500  0.000  0.500
Ce  0.500  0.500  0.000
Ce  0.000  0.500  0.000
Ce  0.000  0.000  0.500
Ce  0.000  0.500  0.500

The following is a PBE-GGA calculation of NiIr2PtRh4 after structural relaxation, from Alexandria.

calculated volume: 16.532 A^3/atom
calculated total energy: -6.609 eV/atom
E_form: 0.760 eV/atom
calculated density: 13.2 g/cm3

abc: 3.613 6.299 6.163
angles: 70.56 90.00 90.00
Atoms (fractional coordinates):
Ir  0.000  0.000  0.000
Ir  0.500  0.000  0.500
Rh  0.000  0.237  0.260
Rh  0.000  0.763  0.740
Rh  0.500  0.758  0.255
Rh  0.500  0.242  0.745
Pt  0.500  0.500  0.000
Ni  0.000  0.500  0.500

The following is a PBE-GGA calculation of Pr4NdSm2Y2 after structural relaxation, from Alexandria.

calculated volume: 34.735 A^3/atom
calculated total energy: -5.125 eV/atom
E_form: 0.014 eV/atom
calculated density: 6.3 g/cm3

abc: 3.662 9.675 8.986
angles: 89.93 90.00 100.91
Atoms (fractional coordinates):
Y  0.333  0.665  0.001
Y  0.667  0.335  0.999
Pr  0.445  0.889  0.668
Pr  0.223  0.446  0.331
Pr  0.777  0.554  0.669
Pr  0.555  0.111  0.332
Sm  0.111  0.222  0.669
Sm  0.889  0.778  0.331
Nd  0.000  0.000  0.000

The following is a PBE-GGA calculation of RuRhW after structural relaxation, from Alexandria.

calculated volume: 17.281 A^3/atom
calculated total energy: -9.568 eV/atom
E_form: 0.292 eV/atom
calculated density: 12.4 g/cm3

abc: 4.185 4.185 4.185
angles: 60.00 60.00 60.00
Atoms (fractional coordinates):
W  0.750  0.750  0.750
Ru  0.500  0.500  0.500
Rh  0.000  0.000  0.000